Record 1
First-principles (GGA-PBE) data for crystalline K4AgSn4 at its relaxed geometry, as listed in the Alexandria database.

Cell: 9.7163 9.7163 9.7163 Å, 137.77 137.77 61.25°
With the nearest neighbours (Å) after each atom.
Positions (direct):
K: 0.1841 0.1841 0.6497  1 K 3.47, 3 Sn 3.51-3.59
K: 0.4655 0.8159 0.0000  1 K 3.47, 3 Sn 3.51-3.59
K: 0.5345 0.5345 0.3503  1 K 3.47, 3 Sn 3.51-3.59
K: 0.8159 0.4655 0.0000  1 K 3.47, 3 Sn 3.51-3.59
Ag: 0.0000 0.0000 0.0000  4 Sn 2.81
Sn: 0.0035 0.0035 0.7165  1 Ag 2.81, 1 Sn 2.81
Sn: 0.2870 0.2870 0.2835  1 Ag 2.81, 1 Sn 2.81
Sn: 0.7130 0.9965 0.0000  1 Ag 2.81, 1 Sn 2.81
Sn: 0.9965 0.7130 0.0000  1 Ag 2.81, 1 Sn 2.81

Computed properties:
Energy of formation from the pure elements = 38 meV per atom
Crystal system = tetragonal

Record 2
First-principles (GGA-PBE) data for crystalline Dy2MgPd9 at its relaxed geometry, as listed in the Alexandria database.

Cell: 4.0922 4.0922 12.1108 Å, 90.00 90.00 90.00°
With the nearest neighbours (Å) after each atom.
Positions (direct):
Dy: 0.0000 0.0000 0.1728  12 Pd 2.89-2.93
Dy: 0.0000 0.0000 0.8272  12 Pd 2.89-2.93
Mg: 0.0000 0.0000 0.5000  12 Pd 2.80-2.89
Pd: 0.0000 0.5000 0.0000  8 Pd 2.89-2.90, 4 Dy 2.93
Pd: 0.0000 0.5000 0.3423  2 Mg 2.80, 8 Pd 2.80-2.92, 2 Dy 2.90
Pd: 0.0000 0.5000 0.6577  2 Mg 2.80, 8 Pd 2.80-2.92, 2 Dy 2.90
Pd: 0.5000 0.0000 0.0000  8 Pd 2.89-2.90, 4 Dy 2.93
Pd: 0.5000 0.0000 0.3423  2 Mg 2.80, 8 Pd 2.80-2.92, 2 Dy 2.90
Pd: 0.5000 0.0000 0.6577  2 Mg 2.80, 8 Pd 2.80-2.92, 2 Dy 2.90
Pd: 0.5000 0.5000 0.1698  4 Dy 2.89, 8 Pd 2.90-2.92
Pd: 0.5000 0.5000 0.5000  8 Pd 2.80, 4 Mg 2.89
Pd: 0.5000 0.5000 0.8302  4 Dy 2.89, 8 Pd 2.90-2.92

Computed properties:
Energy of formation from the pure elements = -735 meV per atom
Crystal system = tetragonal

Record 3
First-principles (GGA-PBE) data for crystalline Tc2TeIr at its relaxed geometry, as listed in the Alexandria database.

Cell: 3.8968 3.8968 4.2539 Å, 90.00 90.00 90.00°
With the nearest neighbours (Å) after each atom.
Positions (direct):
Tc: 0.0000 0.5000 0.0000  4 Tc 2.76, 4 Te 2.88, 4 Ir 2.88
Tc: 0.5000 0.0000 0.0000  4 Tc 2.76, 4 Te 2.88, 4 Ir 2.88
Te: 0.0000 0.0000 0.5000  4 Ir 2.76, 8 Tc 2.88
Ir: 0.5000 0.5000 0.5000  4 Te 2.76, 8 Tc 2.88

Computed properties:
Uncorrected formation energy = 187 kJ/mol of formula units
Crystal system = tetragonal

| no. | volume (Å³/f.u.) | VASP energy (eV per atom) |
| --- | --- | --- |
| 1 | 409.7 | -2.546 |
| 2 | 202.8 | -5.529 |
| 3 | 64.6 | -7.700 |